1.
Computed, not measured: a relaxed ScHgBr4 crystal at the PBE level of DFT.

Cell lengths 6.283, 6.283, 6.283 Å; angles 60.00, 60.00, 60.00 degrees
Sites, in units of the cell vectors:
Sc 0.000 0.000 0.000
Hg 0.250 0.250 0.250
Br 0.123 0.626 0.626
Br 0.626 0.123 0.626
Br 0.626 0.626 0.123
Br 0.626 0.626 0.626

Calculated values
The value obtained for the total energy is -2.04 eV/atom. As for the formation energy without anion corrections: 0.1836 eV per atom. For the density of states at the Fermi level, the calculation gives 9.94 states/eV/f.u. For the volume, the calculation gives 29.2 A^3/atom.

2.
Computed, not measured: a relaxed In2AgPd4 crystal at the PBE level of DFT.

Cell lengths 3.854, 3.854, 18.817 Å; angles 90.00, 90.00, 90.00 degrees
Sites, in units of the cell vectors:
In 0.000 0.000 0.127
In 0.000 0.000 0.873
In 0.500 0.500 0.373
In 0.500 0.500 0.627
Ag 0.000 0.000 0.500
Ag 0.500 0.500 0.000
Pd 0.000 0.000 0.358
Pd 0.000 0.000 0.642
Pd 0.000 0.500 0.250
Pd 0.000 0.500 0.750
Pd 0.500 0.000 0.250
Pd 0.500 0.000 0.750
Pd 0.500 0.500 0.142
Pd 0.500 0.500 0.858

Calculated values
The value obtained for the total energy is -4.32 eV/atom. For the energy relative to the elements, the calculation gives -0.16 eV/atom. For the density of states at the Fermi level, the calculation gives 3.96 states/eV/f.u. For the energy above the most stable polymorph in this dataset, the calculation gives 105 meV/atom. For the volume, the calculation gives 20.0 A^3/atom.

3.
Computed, not measured: a relaxed Y3AlGa2 crystal at the PBE level of DFT.

Cell lengths 11.762, 4.341, 11.443 Å; angles 90.00, 90.00, 90.00 degrees
Sites, in units of the cell vectors:
Y 0.056 0.250 0.122
Y 0.135 0.750 0.574
Y 0.206 0.250 0.808
Y 0.294 0.750 0.308
Y 0.365 0.250 0.074
Y 0.444 0.750 0.622
Y 0.556 0.250 0.378
Y 0.635 0.750 0.926
Y 0.706 0.250 0.692
Y 0.794 0.750 0.192
Y 0.865 0.250 0.426
Y 0.944 0.750 0.878
Al 0.130 0.250 0.377
Al 0.370 0.750 0.877
Al 0.630 0.250 0.123
Al 0.870 0.750 0.623
Ga 0.017 0.750 0.322
Ga 0.188 0.750 0.006
Ga 0.312 0.250 0.506
Ga 0.483 0.250 0.822
Ga 0.517 0.750 0.178
Ga 0.688 0.750 0.494
Ga 0.812 0.250 0.994
Ga 0.983 0.250 0.678

Calculated values
The value obtained for the total energy is -5.41 eV/atom. For the energy relative to the elements, the calculation gives -0.55 eV/atom. For the density of states at the Fermi level, the calculation gives 4.95 states/eV/f.u. For the volume, the calculation gives 24.3 A^3/atom.

4.
Computed, not measured: a relaxed Th2Fe5Co5 crystal at the PBE level of DFT.

Cell lengths 4.044, 4.979, 8.772 Å; angles 90.00, 90.00, 90.00 degrees
Sites, in units of the cell vectors:
Th 0.000 0.000 0.000
Th 0.000 0.500 0.500
Fe 0.500 0.000 0.500
Fe 0.500 0.250 0.246
Fe 0.500 0.250 0.754
Fe 0.500 0.750 0.246
Fe 0.500 0.750 0.754
Co 0.000 0.000 0.331
Co 0.000 0.000 0.669
Co 0.000 0.500 0.190
Co 0.000 0.500 0.810
Co 0.500 0.500 0.000

Calculated values
The value obtained for the total energy is -7.84 eV/atom. For the energy relative to the elements, the calculation gives -0.11 eV/atom. For the density of states at the Fermi level, the calculation gives 13.30 states/eV/f.u. For the energy above the most stable polymorph in this dataset, the calculation gives 14 meV/atom. For the volume, the calculation gives 14.7 A^3/atom.